# 1
CaGaSeN2 | GGA-PBE | optimized geometry

Output
Total magnetization, μB/cell: 2.75
ΔE to the lowest computed polymorph, meV/atom: 0

Lattice parameters (Å, degrees): 3.9625 5.2911 3.9625 90.00 90.00 90.00
With the nearest neighbours (Å) after each atom.
Atoms (fractional coordinates):
Ca: 0.5000 0.5000 0.5000  4 Se 2.80
Ga: 0.0000 0.0000 0.0000  4 N 1.98
Se: 0.0000 0.5000 0.0000  2 Ga 2.65, 4 Ca 2.80
N: 0.0000 0.0000 0.5000  2 Ga 1.98
N: 0.5000 0.0000 0.0000  2 Ga 1.98

---

# 2
BaAlOs2 | GGA-PBE | optimized geometry

Output
Energy of formation, eV/atom: 0.58
Total magnetization, μB/cell: 0.90

Lattice parameters (Å, degrees): 2.9520 3.9300 7.1859 90.00 90.00 90.00
With the nearest neighbours (Å) after each atom.
Atoms (fractional coordinates):
Os: 0.0000 0.0000 0.0856  1 Os 2.36
Os: 0.0000 0.0000 0.4144  1 Os 2.36
Ba: 0.5000 0.5000 0.7500  2 Ba 2.95
Al: 0.5000 0.5000 0.2500  8 Os 2.73, 2 Al 2.95

---

# 3
Pa2OsC | GGA-PBE | optimized geometry

Output
Energy of formation, eV/atom: -0.21
Total magnetization, μB/cell: 0.00
ΔE to the lowest computed polymorph, meV/atom: 0

Lattice parameters (Å, degrees): 3.6953 3.6953 6.8623 74.38 74.38 60.00
With the nearest neighbours (Å) after each atom.
Atoms (fractional coordinates):
C: 0.5000 0.5000 0.5000  6 Pa 2.58
Pa: 0.7595 0.7595 0.7214  3 C 2.58, 3 Os 2.80
Pa: 0.2405 0.2405 0.2786  3 C 2.58, 3 Os 2.80
Os: 0.0000 0.0000 0.0000  6 Pa 2.80

---

# 4
GaAuI5 | GGA-PBE | optimized geometry

Output
Total DFT energy (no corrections), eV for the cell shown: -31.52
Total magnetization, μB/cell: 0.00

Lattice parameters (Å, degrees): 9.7787 9.7959 8.8528 103.93 103.99 116.07
With the nearest neighbours (Å) after each atom.
Atoms (fractional coordinates):
Ga: 0.8688 0.6312 0.2499  4 I 2.52-2.70
Ga: 0.1312 0.3688 0.7501  4 I 2.52-2.70
Au: 0.5000 0.0000 0.0000  4 I 2.71-2.88
Au: 0.5000 0.0000 0.5000  4 I 2.71-2.87
I: 0.7942 0.7149 0.0088  1 Ga 2.52
I: 0.1822 0.6974 0.3586  1 Ga 2.70, 1 Au 2.87
I: 0.4055 0.0934 0.2496  2 Au 2.71
I: 0.7855 0.7061 0.4911  1 Ga 2.52
I: 0.2145 0.2939 0.5089  1 Ga 2.52
I: 0.8029 0.3191 0.1417  1 Ga 2.69, 1 Au 2.88
I: 0.1971 0.6809 0.8583  1 Ga 2.69, 1 Au 2.88
I: 0.5945 0.9066 0.7504  2 Au 2.71
I: 0.8178 0.3026 0.6414  1 Ga 2.70, 1 Au 2.87
I: 0.2058 0.2851 0.9912  1 Ga 2.52

---

# 5
Tl2PbAu2 | GGA-PBE | optimized geometry

Output
Energy of formation, eV/atom: 0.05
Total magnetization, μB/cell: 0.00
ΔE to the lowest computed polymorph, meV/atom: 79

Lattice parameters (Å, degrees): 3.8766 3.8766 9.4509 78.17 78.17 90.00
With the nearest neighbours (Å) after each atom.
Atoms (fractional coordinates):
Pb: 0.0000 0.0000 0.0000  8 Tl 3.44
Tl: 0.3849 0.3849 0.2301  4 Au 3.12, 4 Pb 3.44
Tl: 0.6151 0.6151 0.7699  4 Au 3.12, 4 Pb 3.44
Au: 0.7500 0.2500 0.5000  4 Au 2.74
Au: 0.2500 0.7500 0.5000  4 Au 2.74

---

# 6
Rh3W | GGA-PBE | optimized geometry

Output
Energy of formation, eV/atom: 0.17
Total magnetization, μB/cell: 0.00

Lattice parameters (Å, degrees): 5.1132 5.1132 5.1132 116.95 116.95 116.95
With the nearest neighbours (Å) after each atom.
Atoms (fractional coordinates):
Rh: 0.0000 0.5000 0.5000  6 Rh 2.67-2.71, 2 W 2.67
Rh: 0.5000 0.5000 0.0000  2 W 2.67, 6 Rh 2.67-2.71
Rh: 0.5000 0.0000 0.5000  6 Rh 2.67-2.71, 2 W 2.67
W: 0.0000 0.0000 0.0000  6 Rh 2.67, 2 W 2.71

---

# 7
ZrTa2Ni | GGA-PBE | optimized geometry

Output
Energy of formation, eV/atom: 0.10
Total magnetization, μB/cell: 0.00
ΔE to the lowest computed polymorph, meV/atom: 174

Lattice parameters (Å, degrees): 5.1800 5.1800 5.1800 134.25 134.25 66.69
With the nearest neighbours (Å) after each atom.
Atoms (fractional coordinates):
Ni: 0.7500 0.2500 0.5000  8 Ta 2.85-2.96, 4 Zr 2.96
Ta: 0.0000 0.0000 0.0000  4 Zr 2.85, 4 Ta 2.96, 4 Ni 2.96
Ta: 0.2500 0.7500 0.5000  4 Ni 2.85, 4 Zr 2.96, 4 Ta 2.96
Zr: 0.5000 0.5000 0.0000  8 Ta 2.85-2.96, 4 Ni 2.96

---

# 8
FeGeTeS2 | GGA-PBE | optimized geometry

Output
Total DFT energy (no corrections), eV for the cell shown: -18.72
Total magnetization, μB/cell: 3.55

Lattice parameters (Å, degrees): 4.9987 5.5203 4.9987 90.00 90.00 90.00
With the nearest neighbours (Å) after each atom.
Atoms (fractional coordinates):
S: 0.0000 0.0000 0.5000  2 Te 2.50
S: 0.5000 0.0000 0.0000  2 Te 2.50
Ge: 0.0000 0.5000 0.0000  2 Te 2.76
Te: 0.0000 0.0000 0.0000  4 S 2.50, 2 Ge 2.76
Fe: 0.5000 0.5000 0.5000  4 Ge 3.53, 8 S 3.72

---

| no. | Fermi-level density of states (states/eV per cell) |
| --- | --- |
| 1 | 1.74 |
| 2 | 4.59 |
| 3 | 3.41 |
| 4 | 2.82 |
| 5 | 2.29 |
| 6 | 6.48 |
| 7 | 3.11 |
| 8 | 4.13 |